Here is Cs2YCl2 after structural relaxation from the Alexandria database. Energies are from GGA-PBEsol.

Its calculated density is 3.0 g/cm3. The formation energy from raw total energies is -0.63 eV/atom. The value obtained for the total energy is -3.1780 eV/atom. The total magnetization comes out at 2.0 μB per cell.

It has space group I4/mmm (No. 139), with a = 6.0764 Å, b = 6.0764 Å, c = 12.8742 Å, α = 90.00°, β = 90.00° and γ = 90.00°. The distinct sites, in fractional coordinates, are Cs at (0.0000, 0.0000, 0.1571), Y at (0.0000, 0.0000, 0.5000) and Cl at (0.0000, 0.5000, 0.2500).

Here is Cs2YCl5 after structural relaxation from the Alexandria database. Energies are from GGA-PBEsol.

Its calculated density is 3.4 g/cm3. The formation energy from raw total energies is -2.20 eV/atom. The value obtained for the total energy is -4.5464 eV/atom. The total magnetization comes out at 0.0 μB per cell.

It has space group Pnma (No. 62), with a = 9.4308 Å, b = 7.3703 Å, c = 15.0795 Å, α = 90.00°, β = 90.00° and γ = 90.00°. The distinct sites, in fractional coordinates, are Cs at (0.0279, 0.2500, 0.2093), Cs at (0.1672, 0.7500, 0.4159), Y at (0.1821, 0.7500, 0.0658), Cl at (0.0000, 0.0000, 0.0000), Cl at (0.0178, 0.7500, 0.2023), Cl at (0.1605, 0.5088, 0.6195) and Cl at (0.2092, 0.2500, 0.4064).

Here is Cs2ZnCl4 after structural relaxation from the Alexandria database. Energies are from GGA-PBEsol.

Its calculated density is 3.5 g/cm3. The formation energy from raw total energies is -1.69 eV/atom. The value obtained for the total energy is -3.3343 eV/atom. The total magnetization comes out at 0.0 μB per cell.

It has space group Pnma (No. 62), with a = 9.6937 Å, b = 7.1938 Å, c = 12.9883 Å, α = 90.00°, β = 90.00° and γ = 90.00°. The distinct sites, in fractional coordinates, are Cs at (0.0208, 0.2500, 0.1729), Cs at (0.1357, 0.7500, 0.4101), Zn at (0.2341, 0.7500, 0.0768), Cl at (0.0036, 0.7500, 0.0956), Cl at (0.1730, 0.5032, 0.6521) and Cl at (0.1876, 0.2500, 0.4126).